The following is a PBE calculation of an optimized crystal structure of PrNd3In3, from Alexandria.

It has space group P2_13 (No. 198), with a = 9.622 Å, b = 9.622 Å, c = 9.622 Å, α = 90.00°, β = 90.00° and γ = 90.00°. The distinct sites, in fractional coordinates, are Pr at (0.075, 0.425, 0.575), Nd at (0.076, 0.576, 0.924), Nd at (0.175, 0.825, 0.325), Nd at (0.176, 0.176, 0.176) and In at (0.000, 0.251, 0.877).

For the density of states at the Fermi level, the calculation gives 8.33 states/eV/f.u. The value obtained for the energy of formation is -341.6 meV/atom. The value obtained for the energy above the most stable polymorph in this dataset is 0.008 eV per atom. For the density, the calculation gives 6.85 Mg/m³.

***

The following is a PBE calculation of an optimized crystal structure of Pr3Nd3In2, from Alexandria.

It has space group Pmmm (No. 47), with a = 4.999 Å, b = 5.006 Å, c = 10.024 Å, α = 90.00°, β = 90.00° and γ = 90.00°. The distinct sites, in fractional coordinates, are Pr at (0.000, 0.000, 0.000), Pr at (0.000, 0.000, 0.500), Pr at (0.500, 0.500, 0.000), Nd at (0.500, 0.000, 0.250), Nd at (0.500, 0.500, 0.500) and In at (0.000, 0.500, 0.251).

For the density of states at the Fermi level, the calculation gives 14.41 states/eV/f.u. The value obtained for the energy of formation is -275.0 meV/atom. The value obtained for the energy above the most stable polymorph in this dataset is 0.000 eV per atom. For the density, the calculation gives 7.18 Mg/m³.

***

The following is a PBE calculation of an optimized crystal structure of Pr4Nd5In2, from Alexandria.

It has space group C2/m (No. 12), with a = 23.744 Å, b = 3.628 Å, c = 8.585 Å, α = 90.00°, β = 94.94° and γ = 90.00°. The distinct sites, in fractional coordinates, are Pr at (0.037, 0.000, 0.350), Pr at (0.233, 0.500, 0.821), Nd at (0.000, 0.500, 0.000), Nd at (0.127, 0.000, 0.010), Nd at (0.180, 0.000, 0.484) and In at (0.087, 0.500, 0.683).

For the density of states at the Fermi level, the calculation gives 16.60 states/eV/f.u. The value obtained for the energy of formation is -75.9 meV/atom. For the density, the calculation gives 6.83 Mg/m³.

***

The following is a PBE calculation of an optimized crystal structure of Pr5Nd4In2, from Alexandria.

It has space group C2/m (No. 12), with a = 23.802 Å, b = 3.632 Å, c = 8.578 Å, α = 90.00°, β = 95.34° and γ = 90.00°. The distinct sites, in fractional coordinates, are Pr at (0.000, 0.000, 0.000), Pr at (0.127, 0.500, 0.012), Pr at (0.180, 0.500, 0.482), Nd at (0.036, 0.500, 0.351), Nd at (0.232, 0.000, 0.822) and In at (0.087, 0.000, 0.681).

For the density of states at the Fermi level, the calculation gives 16.26 states/eV/f.u. The value obtained for the energy of formation is -77.7 meV/atom. For the density, the calculation gives 6.80 Mg/m³.

***

The following is a PBE calculation of an optimized crystal structure of PrNd4In3, from Alexandria.

It has space group Pmma (No. 51), with a = 11.406 Å, b = 7.222 Å, c = 5.878 Å, α = 90.00°, β = 90.00° and γ = 90.00°. The distinct sites, in fractional coordinates, are Pr at (0.000, 0.000, 0.000), Nd at (0.000, 0.255, 0.500), Nd at (0.250, 0.258, 0.092), In at (0.000, 0.500, 0.000), In at (0.250, 0.000, 0.603) and In at (0.250, 0.500, 0.603).

For the density of states at the Fermi level, the calculation gives 11.14 states/eV/f.u. The value obtained for the energy of formation is -314.8 meV/atom. For the density, the calculation gives 7.29 Mg/m³.

***

The following is a PBE calculation of an optimized crystal structure of Pr2Nd8In, from Alexandria.

It has space group C2/m (No. 12), with a = 18.590 Å, b = 5.107 Å, c = 8.169 Å, α = 90.00°, β = 105.32° and γ = 90.00°. The distinct sites, in fractional coordinates, are Pr at (0.224, 0.000, 0.135), Nd at (0.044, 0.000, 0.229), Nd at (0.089, 0.500, 0.940), Nd at (0.136, 0.000, 0.676), Nd at (0.177, 0.500, 0.408) and In at (0.000, 0.500, 0.500).

For the density of states at the Fermi level, the calculation gives 14.20 states/eV/f.u. The value obtained for the energy of formation is -65.3 meV/atom. For the density, the calculation gives 6.88 Mg/m³.

***

The following is a PBE calculation of an optimized crystal structure of Pr15NdIn4, from Alexandria.

It has space group P4/mmm (No. 123), with a = 5.031 Å, b = 5.031 Å, c = 25.752 Å, α = 90.00°, β = 90.00° and γ = 90.00°. The distinct sites, in fractional coordinates, are Pr at (0.000, 0.000, 0.000), Pr at (0.000, 0.000, 0.206), Pr at (0.000, 0.000, 0.402), Pr at (0.000, 0.500, 0.107), Pr at (0.000, 0.500, 0.304), Pr at (0.000, 0.500, 0.500), Nd at (0.500, 0.500, 0.000), In at (0.500, 0.500, 0.206) and In at (0.500, 0.500, 0.402).

For the density of states at the Fermi level, the calculation gives 28.94 states/eV/f.u. The value obtained for the energy of formation is -211.3 meV/atom. For the density, the calculation gives 6.92 Mg/m³.

***

The following is a PBE calculation of an optimized crystal structure of Pr2Nd4In, from Alexandria.

It has space group Cmmm (No. 65), with a = 6.291 Å, b = 12.765 Å, c = 6.101 Å, α = 90.00°, β = 90.00° and γ = 90.00°. The distinct sites, in fractional coordinates, are Pr at (0.000, 0.114, 0.000), Nd at (0.000, 0.173, 0.500), Nd at (0.000, 0.366, 0.000) and In at (0.000, 0.500, 0.500).

For the density of states at the Fermi level, the calculation gives 9.45 states/eV/f.u. The value obtained for the energy of formation is 374.0 meV/atom. The value obtained for the energy above the most stable polymorph in this dataset is 0.000 eV per atom. For the density, the calculation gives 6.60 Mg/m³.

***

The following is a PBE calculation of an optimized crystal structure of Pr2Nd7In, from Alexandria.

It has space group Cmmm (No. 65), with a = 8.808 Å, b = 16.600 Å, c = 5.478 Å, α = 90.00°, β = 90.00° and γ = 90.00°. The distinct sites, in fractional coordinates, are Pr at (0.000, 0.208, 0.000), Nd at (0.000, 0.000, 0.000), Nd at (0.000, 0.289, 0.500), Nd at (0.176, 0.396, 0.000) and In at (0.000, 0.500, 0.500).

For the density of states at the Fermi level, the calculation gives 11.30 states/eV/f.u. The value obtained for the energy of formation is 481.0 meV/atom. For the density, the calculation gives 5.83 Mg/m³.

***

The following is a PBE calculation of an optimized crystal structure of Pr2Nd7In2, from Alexandria.

It has space group Imm2 (No. 44), with a = 5.264 Å, b = 15.764 Å, c = 8.953 Å, α = 90.00°, β = 90.00° and γ = 90.00°. The distinct sites, in fractional coordinates, are Pr at (0.000, 0.000, 0.000), Pr at (0.000, 0.500, 0.186), Nd at (0.000, 0.160, 0.286), Nd at (0.000, 0.160, 0.712), Nd at (0.000, 0.349, 0.500), Nd at (0.000, 0.500, 0.812) and In at (0.000, 0.303, 0.999).

For the density of states at the Fermi level, the calculation gives 15.12 states/eV/f.u. The value obtained for the energy of formation is -112.7 meV/atom. For the density, the calculation gives 6.80 Mg/m³.

***

The following is a PBE calculation of an optimized crystal structure of Pr4Nd3In2, from Alexandria.

It has space group C2/m (No. 12), with a = 11.394 Å, b = 4.921 Å, c = 10.781 Å, α = 90.00°, β = 108.94° and γ = 90.00°. The distinct sites, in fractional coordinates, are Pr at (0.008, 0.000, 0.175), Pr at (0.170, 0.500, 0.390), Nd at (0.000, 0.000, 0.500), Nd at (0.173, 0.500, 0.053) and In at (0.162, 0.500, 0.719).

For the density of states at the Fermi level, the calculation gives 10.63 states/eV/f.u. The value obtained for the energy of formation is -219.7 meV/atom. The value obtained for the energy above the most stable polymorph in this dataset is 0.000 eV per atom. For the density, the calculation gives 7.12 Mg/m³.

***

The following is a PBE calculation of an optimized crystal structure of Pr5NdIn6, from Alexandria.

It has space group C2/m (No. 12), with a = 17.416 Å, b = 7.782 Å, c = 5.519 Å, α = 90.00°, β = 108.05° and γ = 90.00°. The distinct sites, in fractional coordinates, are Pr at (0.000, 0.000, 0.000), Pr at (0.166, 0.000, 0.666), Pr at (0.167, 0.500, 0.667), Nd at (0.000, 0.500, 0.000), In at (0.000, 0.252, 0.500) and In at (0.166, 0.251, 0.165).

For the density of states at the Fermi level, the calculation gives 6.14 states/eV/f.u. The value obtained for the energy of formation is -494.2 meV/atom. For the density, the calculation gives 7.18 Mg/m³.